{
  "formula": "Er3Si3O10F",
  "functional": "GGA-PBE",
  "state": "optimized geometry",
  "total_energy_ev_per_atom": -8.08,
  "magnetic_moment_mub_per_atom": 0.000,
  "lattice": [[7.260, 0.000, 0.000], [0.000, 11.020, 0.000], [-5.961, 0.000, 10.207]],
  "species": ["O", "O", "O", "O", "O", "O", "O", "O", "O", "O", "O", "O", "O", "O", "O", "O", "O", "O", "O", "O", "O", "O", "O", "O", "O", "O", "O", "O", "O", "O", "O", "O", "O", "O", "O", "O", "O", "O", "O", "O", "Si", "Si", "Si", "Si", "Si", "Si", "Si", "Si", "Si", "Si", "Si", "Si", "Er", "Er", "Er", "Er", "Er", "Er", "Er", "Er", "Er", "Er", "Er", "Er", "F", "F", "F", "F"],
  "fractional_positions": [[0.351, 0.592, 0.373], [0.850, 0.948, 0.895], [0.516, 0.145, 0.304], [0.805, 0.895, 0.121], [0.150, 0.052, 0.105], [0.351, 0.908, 0.873], [0.805, 0.605, 0.621], [0.892, 0.273, 0.382], [0.892, 0.227, 0.882], [0.101, 0.479, 0.137], [0.713, 0.821, 0.481], [0.850, 0.552, 0.395], [0.891, 0.821, 0.733], [0.349, 0.975, 0.363], [0.651, 0.475, 0.137], [0.649, 0.092, 0.127], [0.504, 0.894, 0.192], [0.484, 0.645, 0.196], [0.713, 0.679, 0.981], [0.899, 0.979, 0.363], [0.109, 0.321, 0.767], [0.496, 0.394, 0.308], [0.287, 0.179, 0.519], [0.108, 0.773, 0.118], [0.287, 0.321, 0.019], [0.150, 0.448, 0.605], [0.504, 0.606, 0.692], [0.651, 0.025, 0.637], [0.195, 0.105, 0.879], [0.649, 0.408, 0.627], [0.108, 0.727, 0.618], [0.195, 0.395, 0.379], [0.101, 0.021, 0.637], [0.496, 0.106, 0.808], [0.484, 0.855, 0.696], [0.109, 0.179, 0.267], [0.516, 0.355, 0.804], [0.891, 0.679, 0.233], [0.899, 0.521, 0.863], [0.349, 0.525, 0.863], [0.284, 0.413, 0.759], [0.120, 0.256, 0.391], [0.716, 0.587, 0.241], [0.286, 0.036, 0.792], [0.120, 0.244, 0.891], [0.286, 0.464, 0.292], [0.880, 0.744, 0.609], [0.880, 0.756, 0.109], [0.716, 0.913, 0.741], [0.714, 0.536, 0.708], [0.714, 0.964, 0.208], [0.284, 0.087, 0.259], [0.745, 0.468, 0.981], [0.805, 0.098, 0.005], [0.195, 0.598, 0.495], [0.255, 0.532, 0.019], [0.404, 0.727, 0.811], [0.404, 0.773, 0.311], [0.596, 0.273, 0.189], [0.596, 0.227, 0.689], [0.255, 0.968, 0.519], [0.745, 0.032, 0.481], [0.195, 0.902, 0.995], [0.805, 0.402, 0.505], [0.241, 0.714, 0.939], [0.759, 0.286, 0.061], [0.759, 0.214, 0.561], [0.241, 0.786, 0.439]]
}